1.
Ac5Tb4Y, relaxed, DFT PBE-GGA; calculated formation energy = 2.05 kcal/mol of atoms; SG = P4/mmm (123); raw total energy = -4.464 eV/atom
1.0
4.329 0.000 0.000
0.000 4.329 0.000
0.000 0.000 20.342
Ac Tb Y
5 4 1
Direct
0.000 0.000 0.000
0.000 0.000 0.199
0.000 0.000 0.399
0.000 0.000 0.601
0.000 0.000 0.801
0.500 0.500 0.099
0.500 0.500 0.299
0.500 0.500 0.701
0.500 0.500 0.901
0.500 0.500 0.500


2.
TbZrCoIr, relaxed, DFT PBE-GGA; calculated formation energy = -10.96 kcal/mol of atoms; SG = F-43m (216); raw total energy = -7.762 eV/atom
1.0
0.000 3.338 3.338
3.338 0.000 3.338
3.338 3.338 0.000
Tb Zr Co Ir
1 1 1 1
Direct
0.000 0.000 0.000
0.500 0.500 0.500
0.750 0.750 0.750
0.250 0.250 0.250


3.
Si3Pb, relaxed, DFT PBE-GGA; energy above the most stable polymorph in this dataset = 0.348 eV per atom; SG = Cmmm (65); raw total energy = -4.260 eV/atom
1.0
3.026 -3.638 0.000
3.026 3.638 0.000
0.000 0.000 3.618
Si Pb
3 1
Direct
0.000 0.000 0.000
0.000 0.500 0.500
0.500 0.000 0.500
0.500 0.500 0.000


4.
PuMnFeTc, relaxed, DFT PBE-GGA; calculated formation energy = 4.35 kcal/mol of atoms; SG = F-43m (216); raw total energy = -10.394 eV/atom
1.0
0.000 3.157 3.157
3.157 0.000 3.157
3.157 3.157 0.000
Pu Mn Fe Tc
1 1 1 1
Direct
0.000 0.000 0.000
0.500 0.500 0.500
0.250 0.250 0.250
0.750 0.750 0.750


5.
PrMgSn, relaxed, DFT PBE-GGA; calculated formation energy = -7.50 kcal/mol of atoms; SG = I4mm (107); raw total energy = -3.784 eV/atom
1.0
-1.805 1.805 6.341
1.805 -1.805 6.341
1.805 1.805 -6.341
Pr Mg Sn
1 1 1
Direct
0.000 0.000 0.000
0.314 0.314 0.000
0.678 0.678 0.000


6.
Cs3Rb4Pt, relaxed, DFT PBE-GGA; calculated formation energy = 1.04 kcal/mol of atoms; SG = Pmmn (59); raw total energy = -1.514 eV/atom
1.0
8.438 0.000 0.000
0.000 15.370 0.000
0.000 0.000 9.396
Cs Rb Pt
6 8 2
Direct
0.250 0.032 0.190
0.250 0.468 0.190
0.250 0.750 0.549
0.750 0.250 0.451
0.750 0.532 0.810
0.750 0.968 0.810
0.000 0.250 0.029
0.000 0.750 0.971
0.250 0.114 0.604
0.250 0.386 0.604
0.500 0.250 0.029
0.500 0.750 0.971
0.750 0.614 0.396
0.750 0.886 0.396
0.250 0.250 0.308
0.750 0.750 0.692


7.
CrCo2Ni8, relaxed, DFT PBE-GGA; calculated formation energy = 4.28 kcal/mol of atoms; energy above the most stable polymorph in this dataset = 0.000 eV per atom; SG = C2/m (12); raw total energy = -6.186 eV/atom
1.0
6.595 -2.312 0.000
6.595 2.312 0.000
-0.977 0.000 4.151
Cr Co Ni
1 2 8
Direct
0.000 0.000 0.000
0.261 0.261 0.620
0.739 0.739 0.380
0.154 0.659 0.505
0.188 0.188 0.063
0.341 0.846 0.495
0.414 0.414 0.027
0.586 0.586 0.973
0.659 0.154 0.505
0.812 0.812 0.937
0.846 0.341 0.495


8.
TbThPb2, relaxed, DFT PBE-GGA; calculated formation energy = -8.42 kcal/mol of atoms; SG = P4/mmm (123); raw total energy = -5.232 eV/atom
1.0
3.599 0.000 0.000
0.000 3.599 0.000
0.000 0.000 9.021
Tb Th Pb
1 1 2
Direct
0.000 0.000 0.000
0.000 0.000 0.500
0.500 0.500 0.242
0.500 0.500 0.758


9.
HfCo, relaxed, DFT PBE-GGA; calculated formation energy = -9.00 kcal/mol of atoms; SG = Pm-3m (221); raw total energy = -8.920 eV/atom
1.0
3.163 0.000 0.000
0.000 3.163 0.000
0.000 0.000 3.163
Hf Co
1 1
Direct
0.000 0.000 0.000
0.500 0.500 0.500


10.
TbPa2H8, relaxed, DFT PBE-GGA; SG = Immm (71); raw total energy = -4.964 eV/atom
1.0
-1.760 2.811 5.447
1.760 -2.811 5.447
1.760 2.811 -5.447
Tb Pa H
1 2 8
Direct
0.000 0.000 0.000
0.326 0.326 0.000
0.674 0.674 0.000
0.089 0.840 0.249
0.174 0.674 0.500
0.264 0.500 0.764
0.409 0.160 0.249
0.591 0.840 0.751
0.736 0.500 0.236
0.826 0.326 0.500
0.911 0.160 0.751


11.
SrGa2SiAg, relaxed, DFT PBE-GGA; energy above the most stable polymorph in this dataset = 0.000 eV per atom; SG = Imm2 (44); raw total energy = -3.544 eV/atom
1.0
-2.179 2.229 5.420
2.179 -2.229 5.420
2.179 2.229 -5.420
Sr Ga Si Ag
1 2 1 1
Direct
0.000 0.000 0.000
0.386 0.386 0.000
0.750 0.250 0.500
0.615 0.615 0.000
0.243 0.743 0.500


12.
La2FeTePb, relaxed, DFT PBE-GGA; SG = P4/mmm (123); raw total energy = -5.445 eV/atom
1.0
5.376 0.000 0.000
0.000 5.376 0.000
0.000 0.000 4.829
La Fe Te Pb
2 1 1 1
Direct
0.000 0.500 0.000
0.500 0.000 0.000
0.000 0.000 0.000
0.000 0.000 0.500
0.500 0.500 0.500